This record from Alexandria describes a relaxed CrAgOF2 crystal. The functional is PBE+U.

abc: 3.9775 3.9775 3.9280
angles: 90.00 90.00 90.00
Space group P4/mmm (No. 123)
Symmetry-distinct sites (fractional):
Cr 0.0000 0.0000 0.0000
Ag 0.5000 0.5000 0.5000
O 0.0000 0.0000 0.5000
F 0.0000 0.5000 0.0000

Properties
* raw total energy: -5.41 eV per atom
* density: 5.71 Mg/m³
* N(E_F): 0.01 states/eV/atom